(1)
Material: DyZrB12
Method: DFT, PBE-GGA
State: optimized geometry

Output
For the formation energy, the calculation gives -0.211 eV per atom. The total energy is -6.87 eV/atom. Its space group is P4/mmm.

abc: 4.0777 4.0777 8.1418
angles: 90.00 90.00 90.00
Closest atoms and distances in Å follow each position.
Positions (direct):
Dy (0.0000, 0.0000, 0.5000)  24 B 3.00
B (0.5000, 0.8019, 0.7515)  5 B 1.62-1.74
B (0.5000, 0.5000, 0.9019)  5 B 1.60-1.74
B (0.5000, 0.1981, 0.2485)  5 B 1.62-1.74
B (0.1981, 0.5000, 0.7515)  5 B 1.62-1.74
B (0.5000, 0.5000, 0.3999)  5 B 1.63-1.74
B (0.5000, 0.5000, 0.6001)  5 B 1.63-1.74
B (0.5000, 0.8019, 0.2485)  5 B 1.62-1.74
B (0.5000, 0.1981, 0.7515)  5 B 1.62-1.74
B (0.5000, 0.5000, 0.0981)  5 B 1.60-1.74
B (0.8019, 0.5000, 0.2485)  5 B 1.62-1.74
B (0.1981, 0.5000, 0.2485)  5 B 1.62-1.74
B (0.8019, 0.5000, 0.7515)  5 B 1.62-1.74
Zr (0.0000, 0.0000, 0.0000)  24 B 2.98-2.99


(2)
Material: DyZr2B6
Method: DFT, PBE-GGA
State: optimized geometry

Output
For the formation energy, the calculation gives -0.844 eV per atom. The total energy is -7.71 eV/atom. Its space group is P6/mmm.

abc: 3.6488 5.5689 5.5689
angles: 120.00 90.00 90.00
Closest atoms and distances in Å follow each position.
Positions (direct):
B (0.5000, 0.0000, 0.3376)  3 B 1.81-1.88
B (0.5000, 0.0000, 0.6624)  3 B 1.81-1.88
B (0.5000, 0.3376, 0.3376)  3 B 1.81-1.88
B (0.5000, 0.3376, 0.0000)  3 B 1.81-1.88
B (0.5000, 0.6624, 0.0000)  3 B 1.81-1.88
B (0.5000, 0.6624, 0.6624)  3 B 1.81-1.88
Zr (0.0000, 0.6667, 0.3333)  12 B 2.59
Zr (0.0000, 0.3333, 0.6667)  12 B 2.59
Dy (0.0000, 0.0000, 0.0000)  12 B 2.62


(3)
Material: ErB6
Method: DFT, PBE-GGA
State: optimized geometry

Output
For the formation energy, the calculation gives -0.361 eV per atom. The total energy is -6.74 eV/atom. Its space group is Pm-3m. The polymorph energy (0 for the lowest one) is 0.0 meV/atom.

abc: 4.0867 4.0867 4.0867
angles: 90.00 90.00 90.00
Closest atoms and distances in Å follow each position.
Positions (direct):
B (0.5000, 0.5000, 0.8013)  5 B 1.62-1.74
B (0.1987, 0.5000, 0.5000)  5 B 1.62-1.74
B (0.5000, 0.5000, 0.1987)  5 B 1.62-1.74
B (0.5000, 0.8013, 0.5000)  5 B 1.62-1.74
B (0.8013, 0.5000, 0.5000)  5 B 1.62-1.74
B (0.5000, 0.1987, 0.5000)  5 B 1.62-1.74
Er (0.0000, 0.0000, 0.0000)  24 B 3.00


(4)
Material: ErB2
Method: DFT, PBE-GGA
State: optimized geometry

Output
For the formation energy, the calculation gives -0.627 eV per atom. The total energy is -6.60 eV/atom. Its space group is P6/mmm. The polymorph energy (0 for the lowest one) is 0.0 meV/atom.

abc: 3.2715 3.2715 3.8062
angles: 90.00 90.00 120.00
Closest atoms and distances in Å follow each position.
Positions (direct):
Er (0.0000, 0.0000, 0.0000)  12 B 2.68
B (0.3333, 0.6667, 0.5000)  3 B 1.89
B (0.6667, 0.3333, 0.5000)  3 B 1.89